First-principles (PBE+U) data for CaCoNF2 after structural relaxation, as listed in Alexandria via LeMat-Bulk.

Excess energy over the best structure of this formula in the dataset, meV per atom: 0
Symmetry: No. 123
D(E_F), states/eV per atom: 0.080

Structure (POSCAR):
```
CaCoNF2
1.0
4.066 0.000 0.000
0.000 4.066 0.000
0.000 0.000 3.754
Ca N Co F
1 1 1 2
direct
0.500 0.500 0.500
0.000 0.000 0.500
0.000 0.000 0.000
0.000 0.500 0.000
0.500 0.000 0.000
```